The following is a DFT calculation (PBE-GGA) of a relaxed structure of Pa2In3Pd4.

Cell lengths 4.7427, 4.7445, 9.5848 Å; angles 89.95, 89.99, 60.02 degrees
With the nearest neighbours (Å) after each atom.
Atoms (fractional coordinates):
In: 0.0000 0.0000 0.0000  6 Pd 2.85
In: 0.6664 0.6674 0.5851  3 Pd 2.80
In: 0.3336 0.3326 0.4149  3 Pd 2.80
Pd: 0.6666 0.6669 0.9191  3 In 2.85, 4 Pa 2.88-3.04, 3 Pd 3.15
Pd: 0.3334 0.3331 0.0809  3 In 2.85, 4 Pa 2.88-3.04, 3 Pd 3.15
Pd: 0.0003 0.9990 0.3544  1 Pd 2.79, 3 In 2.80, 3 Pa 3.03
Pd: 0.9997 0.0010 0.6456  1 Pd 2.79, 3 In 2.80, 3 Pa 3.03
Pa: 0.6668 0.6662 0.2194  7 Pd 2.88-3.04
Pa: 0.3332 0.3338 0.7806  7 Pd 2.88-3.04

Space group: C2/m (12)
Total energy in Ry/atom: -0.42393


The following is a DFT calculation (PBE-GGA) of a relaxed structure of PaIn2Pd9.

Cell lengths 4.0870, 4.0870, 12.1726 Å; angles 90.00, 90.00, 90.00 degrees
With the nearest neighbours (Å) after each atom.
Atoms (fractional coordinates):
Pd: 0.5000 0.0000 0.1649  2 Pa 2.86, 8 Pd 2.86-2.89, 2 In 2.95
Pd: 0.5000 0.5000 0.0000  8 Pd 2.86, 4 Pa 2.89
Pd: 0.5000 0.0000 0.8351  8 Pd 2.86-2.89, 2 Pa 2.86, 2 In 2.95
Pd: 0.0000 0.5000 0.8351  8 Pd 2.86-2.89, 2 Pa 2.86, 2 In 2.95
Pd: 0.5000 0.0000 0.5000  4 In 2.82, 8 Pd 2.88-2.89
Pd: 0.0000 0.5000 0.5000  4 In 2.82, 8 Pd 2.88-2.89
Pd: 0.0000 0.5000 0.1649  2 Pa 2.86, 8 Pd 2.86-2.89, 2 In 2.95
Pd: 0.5000 0.5000 0.3330  8 Pd 2.88-2.89, 4 In 2.89
Pd: 0.5000 0.5000 0.6670  8 Pd 2.88-2.89, 4 In 2.89
In: 0.0000 0.0000 0.6601  12 Pd 2.82-2.95
In: 0.0000 0.0000 0.3399  12 Pd 2.82-2.95
Pa: 0.0000 0.0000 0.0000  12 Pd 2.86-2.89

Space group: P4/mmm (123)
Total energy in Ry/atom: -0.42346


The highest total energy belongs to which entry? PaIn2Pd9